A plane-wave DFT calculation with PBE with a Hubbard U was carried out for VSbN2F after structural relaxation.

a b c (Å): 4.080 4.080 4.078
angles (deg): 90.00 90.00 90.00
Site moments in Bohr magnetons follow the coordinates.
Atoms (fractional coordinates):
V  0.500  0.500  0.500  2.83
Sb  0.000  0.000  0.000  0.00
N  0.000  0.500  0.000  -0.13
N  0.500  0.000  0.000  -0.13
F  0.000  0.000  0.500  0.02

***

A plane-wave DFT calculation with PBE with a Hubbard U was carried out for VSbN2F after structural relaxation.

a b c (Å): 3.968 3.968 3.857
angles (deg): 90.00 90.00 90.00
Atoms (fractional coordinates):
Sb  0.500  0.500  0.500
V  0.000  0.000  0.000
N  0.500  0.000  0.000
N  0.000  0.500  0.000
F  0.000  0.000  0.500

***

A plane-wave DFT calculation with PBE with a Hubbard U was carried out for SbWN2F after structural relaxation.

a b c (Å): 4.130 4.130 4.139
angles (deg): 90.00 90.00 90.00
Site moments in Bohr magnetons follow the coordinates.
Atoms (fractional coordinates):
Sb  0.500  0.500  0.500  0.13
W  0.000  0.000  0.000  1.55
N  0.500  0.000  0.000  -0.17
N  0.000  0.500  0.000  -0.17
F  0.000  0.000  0.500  0.04

***

A plane-wave DFT calculation with PBE with a Hubbard U was carried out for SbWN2F after structural relaxation.

a b c (Å): 4.175 4.175 4.071
angles (deg): 90.00 90.00 90.00
Site moments in Bohr magnetons follow the coordinates.
Atoms (fractional coordinates):
W  0.500  0.500  0.500  3.28
Sb  0.000  0.000  0.000  0.01
F  0.000  0.000  0.500  0.04
N  0.500  0.000  0.000  -0.13
N  0.000  0.500  0.000  -0.13

***

Results for raw total energy: -5.61 -6.01 -5.96 -5.21 (in eV/atom, following the order of the records).